Entry 1:
# Pr2ErS3

Crystalline Pr2ErS3 at its relaxed geometry (PBE, Alexandria).

Calculated values
E above lowest polymorph in meV per atom: 0
Total energy in eV per atom: -6.42
Crystal system: monoclinic
Space-group type: C2/m, No. 12
Formation energy from raw total energies in eV per atom: -2.00
Theoretical density in Mg/m³: 6.53

a b c (Å): 6.946 6.946 7.035
angles (deg): 99.47 99.47 120.12
Fractional positions:
Pr: 0.833 0.167 0.500
Pr: 0.333 0.667 0.000
Pr: 0.173 0.827 0.500
Pr: 0.494 0.506 0.500
Er: 0.000 0.000 0.000
Er: 0.667 0.333 0.000
S: 0.603 0.937 0.769
S: 0.063 0.397 0.231
S: 0.908 0.588 0.764
S: 0.255 0.241 0.764
S: 0.412 0.092 0.236
S: 0.759 0.745 0.236

---

Entry 2:
# Pr3Er5S12

Crystalline Pr3Er5S12 at its relaxed geometry (PBE, Alexandria).

Calculated values
Total energy in eV per atom: -6.27
Crystal system: cubic
Space-group type: Ia-3d, No. 230
Formation energy from raw total energies in eV per atom: -1.93
Theoretical density in Mg/m³: 5.10

a b c (Å): 14.062 14.062 14.062
angles (deg): 109.47 109.47 109.47
Fractional positions:
Pr: 0.750 0.375 0.125
Pr: 0.875 0.750 0.125
Pr: 0.375 0.750 0.625
Pr: 0.250 0.125 0.375
Pr: 0.875 0.125 0.250
Pr: 0.375 0.625 0.250
Pr: 0.625 0.375 0.750
Pr: 0.125 0.875 0.750
Pr: 0.750 0.875 0.625
Pr: 0.625 0.250 0.375
Pr: 0.125 0.250 0.875
Pr: 0.250 0.625 0.875
S: 0.718 0.129 0.043
S: 0.325 0.543 0.414
S: 0.957 0.371 0.282
S: 0.543 0.218 0.129
S: 0.589 0.718 0.675
S: 0.957 0.586 0.175
S: 0.325 0.782 0.411
S: 0.086 0.911 0.129
S: 0.586 0.957 0.675
S: 0.718 0.589 0.175
S: 0.782 0.457 0.371
S: 0.825 0.914 0.043
S: 0.129 0.718 0.543
S: 0.371 0.414 0.089
S: 0.089 0.914 0.371
S: 0.411 0.129 0.586
S: 0.089 0.175 0.218
S: 0.457 0.675 0.086
S: 0.825 0.911 0.282
S: 0.129 0.411 0.086
S: 0.371 0.957 0.782
S: 0.586 0.629 0.411
S: 0.914 0.825 0.543
S: 0.782 0.325 0.911
S: 0.414 0.371 0.589
S: 0.086 0.175 0.457
S: 0.218 0.675 0.089
S: 0.175 0.089 0.718
S: 0.629 0.043 0.218
S: 0.871 0.589 0.914
S: 0.543 0.325 0.914
S: 0.589 0.871 0.414
S: 0.911 0.825 0.782
S: 0.911 0.086 0.629
S: 0.871 0.282 0.457
S: 0.175 0.086 0.957
S: 0.629 0.586 0.911
S: 0.414 0.043 0.325
S: 0.282 0.411 0.825
S: 0.218 0.543 0.629
S: 0.914 0.089 0.871
S: 0.675 0.218 0.589
S: 0.457 0.782 0.871
S: 0.043 0.414 0.825
S: 0.411 0.282 0.325
S: 0.043 0.629 0.718
S: 0.675 0.457 0.586
S: 0.282 0.871 0.957
Er: 0.125 0.375 0.250
Er: 0.000 0.500 0.000
Er: 0.000 0.000 0.000
Er: 0.375 0.250 0.125
Er: 0.500 0.000 0.500
Er: 0.500 0.500 0.000
Er: 0.125 0.750 0.375
Er: 0.750 0.125 0.875
Er: 0.750 0.625 0.375
Er: 0.375 0.125 0.750
Er: 0.625 0.875 0.250
Er: 0.500 0.500 0.500
Er: 0.500 0.000 0.000
Er: 0.000 0.000 0.500
Er: 0.250 0.375 0.625
Er: 0.250 0.875 0.125
Er: 0.000 0.500 0.500
Er: 0.875 0.250 0.625
Er: 0.625 0.750 0.875
Er: 0.875 0.625 0.750